This record from Alexandria describes an optimized crystal structure of AgPt2Br. The functional is GGA-PBE.

Cell lengths 3.9891, 3.9891, 9.1131 Å; angles 90.00, 90.00, 90.00 degrees
Space group I4/mmm (No. 139)
Unique sites:
Ag 0.0000 0.0000 0.0000 [2 per cell]
Pt 0.0000 0.5000 0.2500 [4 per cell]
Br 0.0000 0.0000 0.5000 [2 per cell]

Properties
VASP energy = -0.264 Ry per atom
Mass density = 13.2 g/cm3
E_form (uncorrected) = 0.556 eV per atom
ΔE to the lowest computed polymorph = 0.356 eV per atom
D(E_F) = 10.310 states/eV per cell